[1]
## Pm3Y2Er2 (PBE)

Data for a relaxed structure of Pm3Y2Er2.

abc: 11.3127 5.0748 8.0369
angles: 90.00 98.23 90.00
With the nearest neighbours (Å) after each atom.
Space group C2/m (No. 12)
Unique sites:
Pm1 0.0000 0.0000 0.0000 [2 per cell]  6 Y 3.58, 2 Pm 3.59, 4 Er 3.59
Pm2 0.1419 0.0000 0.4285 [4 per cell]  4 Pm 3.56-3.60, 5 Er 3.57-3.59, 3 Y 3.60
Y1 0.2145 0.5000 0.1419 [4 per cell]  6 Pm 3.58-3.60, 2 Y 3.58, 4 Er 3.58-3.59
Er1 0.0714 0.5000 0.7139 [4 per cell]  7 Pm 3.57-3.59, 1 Er 3.58, 4 Y 3.58-3.59

Total moment (μB per atom): 0.00
DOS(E_F) (states/eV per atom): 1.386
DFT formation energy (eV/f.u.): 0.13

***

[2]
## ZrRu4Rh (PBE)

Data for a relaxed structure of ZrRu4Rh.

abc: 7.2479 7.2479 7.2479
angles: 90.00 90.00 90.00
With the nearest neighbours (Å) after each atom.
Space group F-43m (No. 216)
Unique sites:
Zr1 0.0000 0.0000 0.0000 [4 per cell]  12 Ru 3.01, 4 Rh 3.14
Ru1 0.1239 0.1239 0.6239 [16 per cell]  6 Ru 2.54-2.59
Rh1 0.2500 0.2500 0.2500 [4 per cell]  12 Ru 3.00, 4 Zr 3.14

Total moment (μB per atom): 0.29
DOS(E_F) (states/eV per atom): 1.649
DFT formation energy (eV/f.u.): 0.38

***

[3]
## Ta5TcRu4 (PBE)

Data for a relaxed structure of Ta5TcRu4.

abc: 3.2163 3.2163 15.5234
angles: 90.00 90.00 90.00
With the nearest neighbours (Å) after each atom.
Space group P4/mmm (No. 123)
Unique sites:
Ta1 0.0000 0.0000 0.0000 [1 per cell]  8 Ru 2.75, 2 Ta 3.07
Ta2 0.0000 0.0000 0.1979 [2 per cell]  8 Ru 2.74-2.75
Ta3 0.0000 0.0000 0.3999 [2 per cell]  4 Tc 2.75, 4 Ru 2.78
Tc1 0.5000 0.5000 0.5000 [1 per cell]  8 Ta 2.75
Ru1 0.5000 0.5000 0.0994 [2 per cell]  8 Ta 2.74-2.75
Ru2 0.5000 0.5000 0.2973 [2 per cell]  8 Ta 2.75-2.78, 1 Ru 3.07

Total moment (μB per atom): 0.00
DOS(E_F) (states/eV per atom): 1.133
DFT formation energy (eV/f.u.): -3.39

***

[4]
## CaInRh2 (PBE)

Data for a relaxed structure of CaInRh2.

abc: 4.6398 4.6398 3.3444
angles: 90.00 90.00 90.00
With the nearest neighbours (Å) after each atom.
Space group P4/mmm (No. 123)
Unique sites:
Ca1 0.0000 0.0000 0.0000 [1 per cell]  8 Rh 2.86
In1 0.5000 0.5000 0.0000 [1 per cell]  8 Rh 2.86
Rh1 0.0000 0.5000 0.5000 [2 per cell]  4 In 2.86, 4 Ca 2.86

Total moment (μB per atom): 0.00
DOS(E_F) (states/eV per atom): 0.393
DFT formation energy (eV/f.u.): -1.73